Record 1
{
  "formula": "TlCo2Ni",
  "functional": "GGA-PBE",
  "state": "relaxed",
  "lattice_angstrom": [[8.619, 0.000, 0.000], [0.000, 2.963, 0.000], [-1.054, 0.000, 4.440]],
  "species": ["Tl", "Tl", "Co", "Co", "Co", "Co", "Ni", "Ni"],
  "fractional_positions": [[0.000, 0.000, 0.000], [0.500, 0.500, 0.000], [0.238, 0.000, 0.697], [0.262, 0.500, 0.303], [0.738, 0.500, 0.697], [0.762, 0.000, 0.303], [0.000, 0.500, 0.500], [0.500, 0.000, 0.500]],
  "formation_enthalpy_0k_ev_per_fu": 1.70,
  "magmom_total_mub_per_cell": 6.89,
  "final_energy_ev_per_cell": -41.3
}

---

Record 2
{
  "formula": "Ca3U3TiN8",
  "functional": "GGA-PBE",
  "state": "relaxed",
  "lattice_angstrom": [[3.380, 1.951, 5.681], [-3.380, 1.951, 5.681], [0.000, -3.903, 5.681]],
  "species": ["Ca", "Ca", "Ca", "U", "U", "U", "Ti", "N", "N", "N", "N", "N", "N", "N", "N"],
  "fractional_positions": [[0.000, 0.500, 0.500], [0.500, 0.000, 0.500], [0.500, 0.500, 0.000], [0.000, 0.000, 0.500], [0.000, 0.500, 0.000], [0.500, 0.000, 0.000], [0.500, 0.500, 0.500], [0.242, 0.242, 0.242], [0.246, 0.723, 0.723], [0.277, 0.277, 0.754], [0.277, 0.754, 0.277], [0.723, 0.246, 0.723], [0.723, 0.723, 0.246], [0.754, 0.277, 0.277], [0.758, 0.758, 0.758]],
  "magmom_total_mub_per_cell": 3.99,
  "raw_formation_energy_ev_per_atom": -1.267,
  "final_energy_ev_per_cell": -133.4
}

---

Record 3
{
  "formula": "Ac2CeTl3S6",
  "functional": "GGA-PBE",
  "state": "relaxed",
  "lattice_angstrom": [[3.780, -6.545, 0.000], [3.780, 6.545, 0.000], [-2.515, 0.000, 7.439]],
  "species": ["Ac", "Ac", "Ce", "Tl", "Tl", "Tl", "S", "S", "S", "S", "S", "S"],
  "fractional_positions": [[0.167, 0.833, 0.000], [0.833, 0.167, 0.000], [0.500, 0.500, 0.000], [0.000, 0.000, 0.500], [0.335, 0.665, 0.500], [0.665, 0.335, 0.500], [0.110, 0.431, 0.793], [0.248, 0.248, 0.209], [0.431, 0.110, 0.793], [0.569, 0.890, 0.207], [0.752, 0.752, 0.791], [0.890, 0.569, 0.207]],
  "magmom_total_mub_per_cell": 1.00,
  "raw_formation_energy_ev_per_atom": -1.461,
  "final_energy_ev_per_cell": -63.5
}

---

Record 4
{
  "formula": "UHg3F6",
  "functional": "GGA-PBE",
  "state": "relaxed",
  "lattice_angstrom": [[5.335, 0.000, 0.000], [-2.668, 4.620, 0.000], [0.000, 0.000, 8.038]],
  "species": ["U", "Hg", "Hg", "Hg", "F", "F", "F", "F", "F", "F"],
  "fractional_positions": [[0.000, 0.000, 0.000], [0.000, 0.000, 0.500], [0.333, 0.667, 0.500], [0.667, 0.333, 0.500], [0.000, 0.310, 0.843], [0.000, 0.690, 0.157], [0.310, 0.000, 0.843], [0.310, 0.310, 0.157], [0.690, 0.000, 0.157], [0.690, 0.690, 0.843]],
  "magmom_total_mub_per_cell": 0.87,
  "raw_formation_energy_ev_per_atom": -2.390,
  "final_energy_ev_per_cell": -47.3
}

---

Record 5
{
  "formula": "CaLaNdMg",
  "functional": "GGA-PBE",
  "state": "relaxed",
  "lattice_angstrom": [[8.144, 0.000, 0.000], [0.000, 8.144, 0.000], [0.000, 0.000, 8.144]],
  "species": ["Ca", "Ca", "Ca", "Ca", "La", "La", "La", "La", "Nd", "Nd", "Nd", "Nd", "Mg", "Mg", "Mg", "Mg"],
  "fractional_positions": [[0.000, 0.000, 0.000], [0.000, 0.500, 0.500], [0.500, 0.000, 0.500], [0.500, 0.500, 0.000], [0.250, 0.250, 0.250], [0.250, 0.750, 0.750], [0.750, 0.250, 0.750], [0.750, 0.750, 0.250], [0.250, 0.250, 0.750], [0.250, 0.750, 0.250], [0.750, 0.250, 0.250], [0.750, 0.750, 0.750], [0.000, 0.000, 0.500], [0.000, 0.500, 0.000], [0.500, 0.000, 0.000], [0.500, 0.500, 0.500]],
  "formation_enthalpy_0k_ev_per_fu": 0.08,
  "magmom_total_mub_per_cell": 0.00,
  "final_energy_ev_per_cell": -52.8
}

---

Record 6
{
  "formula": "Ce8Si3Ge4",
  "functional": "GGA-PBE",
  "state": "relaxed",
  "lattice_angstrom": [[5.938, -5.939, 0.000], [5.938, 5.939, 0.000], [-5.917, 0.000, 5.939]],
  "species": ["Ce", "Ce", "Ce", "Ce", "Ce", "Ce", "Ce", "Ce", "Si", "Si", "Si", "Ge", "Ge", "Ge", "Ge"],
  "fractional_positions": [[0.247, 0.247, 0.498], [0.248, 0.248, 0.997], [0.249, 0.751, 0.000], [0.249, 0.751, 0.500], [0.751, 0.249, 0.000], [0.751, 0.249, 0.500], [0.752, 0.752, 0.003], [0.753, 0.753, 0.502], [0.000, 0.000, 0.500], [0.000, 0.500, 0.000], [0.500, 0.000, 0.000], [0.000, 0.000, 0.000], [0.000, 0.500, 0.500], [0.500, 0.000, 0.500], [0.500, 0.500, 0.500]],
  "magmom_total_mub_per_cell": 3.68,
  "raw_formation_energy_ev_per_atom": -0.492,
  "final_energy_ev_per_cell": -89.6
}

---

Record 7
{
  "formula": "Tb3Dy3TmSe8",
  "functional": "GGA-PBE",
  "state": "relaxed",
  "lattice_angstrom": [[4.067, 2.348, 6.649], [-4.067, 2.348, 6.649], [0.000, -4.696, 6.649]],
  "species": ["Tb", "Tb", "Tb", "Dy", "Dy", "Dy", "Tm", "Se", "Se", "Se", "Se", "Se", "Se", "Se", "Se"],
  "fractional_positions": [[0.000, 0.500, 0.500], [0.500, 0.000, 0.500], [0.500, 0.500, 0.000], [0.000, 0.000, 0.500], [0.000, 0.500, 0.000], [0.500, 0.000, 0.000], [0.500, 0.500, 0.500], [0.249, 0.249, 0.249], [0.249, 0.750, 0.750], [0.250, 0.250, 0.751], [0.250, 0.751, 0.250], [0.750, 0.249, 0.750], [0.750, 0.750, 0.249], [0.751, 0.250, 0.250], [0.751, 0.751, 0.751]],
  "magmom_total_mub_per_cell": 0.00,
  "raw_formation_energy_ev_per_atom": -1.834,
  "final_energy_ev_per_cell": -87.6
}

---

Record 8
{
  "formula": "LiAg2F4",
  "functional": "GGA-PBE",
  "state": "relaxed",
  "lattice_angstrom": [[0.000, 5.171, 6.221], [3.162, 0.000, 6.221], [3.162, 5.171, 0.000]],
  "species": ["Li", "Li", "Ag", "Ag", "Ag", "Ag", "F", "F", "F", "F", "F", "F", "F", "F"],
  "fractional_positions": [[0.125, 0.125, 0.125], [0.875, 0.875, 0.875], [0.222, 0.528, 0.222], [0.472, 0.778, 0.472], [0.528, 0.222, 0.528], [0.778, 0.472, 0.778], [0.139, 0.265, 0.339], [0.243, 0.661, 0.735], [0.265, 0.139, 0.757], [0.339, 0.757, 0.139], [0.661, 0.243, 0.861], [0.735, 0.861, 0.243], [0.757, 0.339, 0.265], [0.861, 0.735, 0.661]],
  "magmom_total_mub_per_cell": 1.42,
  "raw_formation_energy_ev_per_atom": -1.597,
  "final_energy_ev_per_cell": -52.6
}